1.
Here is a relaxed structure of CeOsC2 from the Alexandria database. Energies are from PBE-GGA.

Cell lengths 3.371, 3.371, 5.569 Å; angles 72.38, 72.38, 60.00 degrees
Fractional coordinates of all 4 atoms:
C (0.269, 0.269, 0.193)
C (0.731, 0.731, 0.807)
Os (0.000, 0.000, 0.000)
Ce (0.500, 0.500, 0.500)

Computed properties:
energy above the lowest structure with this stoichiometry = 301 meV/atom

---

2.
Here is a relaxed structure of Ce4Os2C from the Alexandria database. Energies are from PBE-GGA.

Cell lengths 7.924, 7.924, 7.924 Å; angles 119.97, 119.97, 90.06 degrees
Fractional coordinates of all 14 atoms:
Ce (0.375, 0.625, 0.250)
Ce (0.875, 0.625, 0.250)
Ce (0.875, 0.125, 0.750)
Ce (0.375, 0.625, 0.750)
Ce (0.875, 0.625, 0.750)
Ce (0.375, 0.125, 0.250)
Ce (0.875, 0.125, 0.250)
Ce (0.375, 0.125, 0.750)
Os (0.625, 0.875, 0.250)
Os (0.125, 0.375, 0.750)
Os (0.625, 0.375, 0.750)
Os (0.625, 0.375, 0.250)
C (0.250, 0.750, 0.500)
C (0.000, 0.000, 0.000)

---

3.
Here is a relaxed structure of Ce4OsC2 from the Alexandria database. Energies are from PBE-GGA.

Cell lengths 3.706, 6.306, 12.775 Å; angles 90.00, 90.00, 107.09 degrees
Fractional coordinates of all 14 atoms:
Ce (0.500, 0.000, 0.500)
Ce (0.774, 0.548, 0.387)
Ce (0.500, 0.000, 0.000)
Ce (0.226, 0.452, 0.887)
Ce (0.062, 0.125, 0.250)
Ce (0.774, 0.548, 0.113)
Ce (0.226, 0.452, 0.613)
Ce (0.938, 0.875, 0.750)
C (0.135, 0.270, 0.440)
C (0.865, 0.730, 0.940)
C (0.135, 0.270, 0.060)
C (0.865, 0.730, 0.560)
Os (0.393, 0.785, 0.250)
Os (0.607, 0.215, 0.750)

---

4.
Here is a relaxed structure of Ce2OsC from the Alexandria database. Energies are from PBE-GGA.

Cell lengths 3.818, 3.818, 6.771 Å; angles 73.62, 73.62, 60.00 degrees
Fractional coordinates of all 4 atoms:
Ce (0.758, 0.758, 0.727)
Ce (0.242, 0.242, 0.273)
Os (0.000, 0.000, 0.000)
C (0.500, 0.500, 0.500)

Computed properties:
energy above the lowest structure with this stoichiometry = 65 meV/atom

---

5.
Here is a relaxed structure of CeOsC2 from the Alexandria database. Energies are from PBE-GGA.

Cell lengths 3.721, 3.997, 3.997 Å; angles 107.49, 90.00, 90.00 degrees
Fractional coordinates of all 4 atoms:
C (0.500, 0.548, 0.154)
C (0.500, 0.846, 0.452)
Ce (0.000, 0.000, 0.000)
Os (0.500, 0.386, 0.614)

Computed properties:
energy above the lowest structure with this stoichiometry = 0 meV/atom

---

6.
Here is a relaxed structure of Ce5OsC4 from the Alexandria database. Energies are from PBE-GGA.

Cell lengths 6.020, 7.311, 8.137 Å; angles 90.00, 90.00, 90.00 degrees
Fractional coordinates of all 20 atoms:
Ce (0.725, 0.753, 0.322)
Ce (0.725, 0.247, 0.322)
Ce (0.725, 0.247, 0.678)
Ce (0.725, 0.753, 0.678)
Ce (0.852, 0.500, 0.000)
Ce (0.275, 0.747, 0.822)
Ce (0.275, 0.253, 0.178)
Ce (0.275, 0.253, 0.822)
Ce (0.275, 0.747, 0.178)
Ce (0.148, 0.000, 0.500)
Os (0.173, 0.500, 0.500)
Os (0.827, 0.000, 0.000)
C (0.374, 0.717, 0.500)
C (0.626, 0.783, 0.000)
C (0.374, 0.283, 0.500)
C (0.975, 0.000, 0.773)
C (0.626, 0.217, 0.000)
C (0.025, 0.500, 0.727)
C (0.025, 0.500, 0.273)
C (0.975, 0.000, 0.227)

---

| no. | total moment (μB/f.u.) | E_form (meV/atom) |
| --- | --- | --- |
| 1 | 0.001 | 220 |
| 2 | 0.695 | 44 |
| 3 | 1.870 | -132 |
| 4 | 0.000 | 55 |
| 5 | 0.000 | -81 |
| 6 | 0.001 | -3 |